No. 1
Below is crystalline GaCo4SiIr2 at its relaxed geometry, with properties calculated at the GGA-PBE level.

```
data_GaCo4SiIr2
_chemical_formula_sum 'Ga1 Co4 Si1 Ir2'
_symmetry_space_group_name_H-M 'P 1'
_symmetry_Int_Tables_number 1
_symmetry_space_group_name_Hall 'P 1'
_cell_length_a 3.9839
_cell_length_b 3.9839
_cell_length_c 6.2308
_cell_angle_alpha 90.00
_cell_angle_beta 90.00
_cell_angle_gamma 90.00
loop_
_atom_site_label
_atom_site_type_symbol
_atom_site_fract_x
_atom_site_fract_y
_atom_site_fract_z
Ga1 Ga 0.0000 0.0000 0.0000
Co1 Co 0.0000 0.0000 0.5000
Co2 Co 0.0000 0.5000 0.7377
Co3 Co 0.5000 0.0000 0.2623
Co4 Co 0.5000 0.5000 0.0000
Si1 Si 0.5000 0.5000 0.5000
Ir1 Ir 0.0000 0.5000 0.2646
Ir2 Ir 0.5000 0.0000 0.7354
```

## Properties
Space group: P-4m2 (115)
Mass density, g/cm³: 12.1
Magnetization, μB/cell: 6.19
VASP energy, eV/atom: -7.0120

=====

No. 2
Below is crystalline KGaCo at its relaxed geometry, with properties calculated at the GGA-PBE level.

```
data_KGaCo
_chemical_formula_sum 'K1 Ga1 Co1'
_symmetry_space_group_name_H-M 'P 1'
_symmetry_Int_Tables_number 1
_symmetry_space_group_name_Hall 'P 1'
_cell_length_a 4.5657
_cell_length_b 4.5657
_cell_length_c 4.5657
_cell_angle_alpha 60.00
_cell_angle_beta 60.00
_cell_angle_gamma 60.00
loop_
_atom_site_label
_atom_site_type_symbol
_atom_site_fract_x
_atom_site_fract_y
_atom_site_fract_z
K1 K 0.0000 0.0000 0.0000
Ga1 Ga 0.5000 0.5000 0.5000
Co1 Co 0.7500 0.7500 0.7500
```

## Properties
Space group: F-43m (216)
Mass density, g/cm³: 4.1
Magnetization, μB/cell: 0.79
ΔE to the lowest computed polymorph, eV per formula unit: 0.00
VASP energy, eV/atom: -2.8923

=====

No. 3
Below is crystalline KGaCo at its relaxed geometry, with properties calculated at the GGA-PBE level.

```
data_KGaCo
_chemical_formula_sum 'K1 Ga1 Co1'
_symmetry_space_group_name_H-M 'P 1'
_symmetry_Int_Tables_number 1
_symmetry_space_group_name_Hall 'P 1'
_cell_length_a 5.1573
_cell_length_b 5.1573
_cell_length_c 5.1573
_cell_angle_alpha 60.00
_cell_angle_beta 60.00
_cell_angle_gamma 60.00
loop_
_atom_site_label
_atom_site_type_symbol
_atom_site_fract_x
_atom_site_fract_y
_atom_site_fract_z
K1 K 0.0000 0.0000 0.0000
Ga1 Ga 0.2500 0.2500 0.2500
Co1 Co 0.7500 0.7500 0.7500
```

## Properties
Space group: F-43m (216)
Mass density, g/cm³: 2.9
Magnetization, μB/cell: 1.53
ΔE to the lowest computed polymorph, eV per formula unit: 1.79
VASP energy, eV/atom: -2.2966

=====

No. 4
Below is crystalline LaGa2Co3 at its relaxed geometry, with properties calculated at the GGA-PBE level.

```
data_LaGa2Co3
_chemical_formula_sum 'La3 Ga6 Co9'
_symmetry_space_group_name_H-M 'P 1'
_symmetry_Int_Tables_number 1
_symmetry_space_group_name_Hall 'P 1'
_cell_length_a 9.1532
_cell_length_b 9.1532
_cell_length_c 3.8392
_cell_angle_alpha 90.00
_cell_angle_beta 90.00
_cell_angle_gamma 120.07
loop_
_atom_site_label
_atom_site_type_symbol
_atom_site_fract_x
_atom_site_fract_y
_atom_site_fract_z
La1 La 0.0000 0.0000 0.0000
La2 La 0.3334 0.6666 0.5000
La3 La 0.6666 0.3334 0.5000
Ga1 Ga 0.0000 0.3176 0.5000
Ga2 Ga 0.0000 0.6824 0.5000
Ga3 Ga 0.3176 0.0000 0.5000
Ga4 Ga 0.3179 0.3179 0.5000
Ga5 Ga 0.6824 0.0000 0.5000
Ga6 Ga 0.6821 0.6821 0.5000
Co1 Co 0.0000 0.5000 0.0000
Co2 Co 0.1804 0.3607 0.0000
Co3 Co 0.1803 0.8197 0.0000
Co4 Co 0.3607 0.1804 0.0000
Co5 Co 0.5000 0.0000 0.0000
Co6 Co 0.5000 0.5000 0.0000
Co7 Co 0.6393 0.8196 0.0000
Co8 Co 0.8197 0.1803 0.0000
Co9 Co 0.8196 0.6393 0.0000
```

## Properties
Space group: Cmmm (65)
Mass density, g/cm³: 8.1
Magnetization, μB/cell: 1.99
VASP energy, eV/atom: -5.7246

=====

No. 5
Below is crystalline LaGaCo at its relaxed geometry, with properties calculated at the GGA-PBE level.

```
data_LaGaCo
_chemical_formula_sum 'La1 Ga1 Co1'
_symmetry_space_group_name_H-M 'P 1'
_symmetry_Int_Tables_number 1
_symmetry_space_group_name_Hall 'P 1'
_cell_length_a 4.7452
_cell_length_b 4.7452
_cell_length_c 4.7452
_cell_angle_alpha 60.00
_cell_angle_beta 60.00
_cell_angle_gamma 60.00
loop_
_atom_site_label
_atom_site_type_symbol
_atom_site_fract_x
_atom_site_fract_y
_atom_site_fract_z
La1 La 0.0000 0.0000 0.0000
Ga1 Ga 0.2500 0.2500 0.2500
Co1 Co 0.7500 0.7500 0.7500
```

## Properties
Space group: F-43m (216)
Mass density, g/cm³: 5.9
Magnetization, μB/cell: 0.99
VASP energy, eV/atom: -4.4542

=====

No. 6
Below is crystalline LaNd2Ga2Co4 at its relaxed geometry, with properties calculated at the GGA-PBE level.

```
data_LaNd2Ga2Co4
_chemical_formula_sum 'La1 Nd2 Ga2 Co4'
_symmetry_space_group_name_H-M 'P 1'
_symmetry_Int_Tables_number 1
_symmetry_space_group_name_Hall 'P 1'
_cell_length_a 5.4599
_cell_length_b 5.4599
_cell_length_c 8.2427
_cell_angle_alpha 98.64
_cell_angle_beta 98.64
_cell_angle_gamma 44.78
loop_
_atom_site_label
_atom_site_type_symbol
_atom_site_fract_x
_atom_site_fract_y
_atom_site_fract_z
La1 La 0.0000 0.0000 0.0000
Nd1 Nd 0.3714 0.3714 0.6224
Nd2 Nd 0.6286 0.6286 0.3776
Ga1 Ga 0.3233 0.3233 0.2242
Ga2 Ga 0.6767 0.6767 0.7758
Co1 Co 0.0781 0.0781 0.6262
Co2 Co 0.2475 0.2475 0.9222
Co3 Co 0.7525 0.7525 0.0778
Co4 Co 0.9219 0.9219 0.3738
```

## Properties
Space group: C2/m (12)
Mass density, g/cm³: 7.8
Magnetization, μB/cell: 0.86
VASP energy, eV/atom: -5.7395

=====

Question: The highest mass density belongs to which entry?
Answer: GaCo4SiIr2

=====

Repeat the fifth record exactly.
Below is crystalline LaGaCo at its relaxed geometry, with properties calculated at the GGA-PBE level.

```
data_LaGaCo
_chemical_formula_sum 'La1 Ga1 Co1'
_symmetry_space_group_name_H-M 'P 1'
_symmetry_Int_Tables_number 1
_symmetry_space_group_name_Hall 'P 1'
_cell_length_a 4.7452
_cell_length_b 4.7452
_cell_length_c 4.7452
_cell_angle_alpha 60.00
_cell_angle_beta 60.00
_cell_angle_gamma 60.00
loop_
_atom_site_label
_atom_site_type_symbol
_atom_site_fract_x
_atom_site_fract_y
_atom_site_fract_z
La1 La 0.0000 0.0000 0.0000
Ga1 Ga 0.2500 0.2500 0.2500
Co1 Co 0.7500 0.7500 0.7500
```

## Properties
Space group: F-43m (216)
Mass density, g/cm³: 5.9
Magnetization, μB/cell: 0.99
VASP energy, eV/atom: -4.4542